Record 1
This record from the Alexandria database describes a relaxed structure of LiAg6S4. The functional is PBE.

Calculated values
Total magnetization (Bohr magnetons per cell): 0.000
Energy (eV per atom): -3.357
Uncorrected formation energy (eV/atom): -0.127

Cell lengths 6.6090, 6.6090, 10.0443 Å; angles 90.00, 90.00, 90.00 degrees
Space group I-42m (No. 121)
Symmetry-distinct sites (fractional):
Li  0.0000  0.0000  0.0000 [2 per cell]
Ag  0.0000  0.5000  0.0000 [4 per cell]
Ag  0.1536  0.1536  0.6524 [8 per cell]
S  0.2454  0.2454  0.3836 [8 per cell]



Record 2
This record from the Alexandria database describes a relaxed structure of Li5AgS3. The functional is PBE.

Calculated values
Total magnetization (Bohr magnetons per cell): 0.000
Energy (eV per atom): -3.867
Uncorrected formation energy (eV/atom): -1.111

Cell lengths 13.0570, 5.8329, 8.2095 Å; angles 90.00, 108.39, 90.00 degrees
Space group C2/c (No. 15)
Symmetry-distinct sites (fractional):
Li  0.0000  0.2374  0.2500 [4 per cell]
Li  0.1640  0.2573  0.5861 [8 per cell]
Li  0.1660  0.2458  0.0795 [8 per cell]
Ag  0.0000  0.2766  0.7500 [4 per cell]
S  0.0000  0.0000  0.0000 [4 per cell]
S  0.1740  0.4844  0.3370 [8 per cell]



Record 3
This record from the Alexandria database describes a relaxed structure of Li2AgS. The functional is PBE.

Calculated values
Total magnetization (Bohr magnetons per cell): 0.000
Energy (eV per atom): -3.034
Uncorrected formation energy (eV/atom): -0.332

Cell lengths 4.5322, 4.5322, 15.1597 Å; angles 90.00, 90.00, 90.00 degrees
Space group I-42d (No. 122)
Symmetry-distinct sites (fractional):
Li  0.1749  0.2500  0.1250 [8 per cell]
Ag  0.0000  0.0000  0.5000 [4 per cell]
S  0.0000  0.0000  0.0000 [4 per cell]



Record 4
This record from the Alexandria database describes a relaxed structure of LiAgS. The functional is PBE.

Calculated values
Total magnetization (Bohr magnetons per cell): 0.000
Energy (eV per atom): -3.436
Uncorrected formation energy (eV/atom): -0.471

Cell lengths 3.6222, 3.6222, 7.5456 Å; angles 90.00, 90.00, 90.00 degrees
Space group I4mm (No. 107)
Symmetry-distinct sites (fractional):
Li  0.0000  0.0000  0.0000 [2 per cell]
Ag  0.0000  0.0000  0.6642 [2 per cell]
S  0.0000  0.0000  0.3311 [2 per cell]